Entry 1:
Below is a geometry-optimized GeBi2Pd2 structure, with properties calculated at the PBE level.

The structure belongs to space group P4/mbm (No. 127); the cell edges are 8.2653, 8.2653 and 3.3184 Å and the angles 90.00°, 90.00° and 90.00°. The distinct sites, in fractional coordinates, are Ge at (0.0000, 0.0000, 0.0000), Bi at (0.1639, 0.3361, 0.0000) and Pd at (0.1275, 0.6275, 0.5000).

For the energy above the most stable polymorph in this dataset, the calculation gives 16.43 kJ/mol of atoms. Its formation enthalpy at 0 K is 0.04 eV/atom. Its total moment is 0.000 μB per cell.

=====

Entry 2:
Below is a geometry-optimized GeBiPd6 structure, with properties calculated at the PBE level.

The structure belongs to space group R-3m (No. 166, hexagonal axes); the cell edges are 4.5507, 4.5507 and 22.1893 Å and the angles 90.00°, 90.00° and 120.00°. The distinct sites, in fractional coordinates, are Ge at (0.0000, 0.0000, 0.0000), Bi at (0.0000, 0.0000, 0.5000), Pd at (0.0000, 0.0000, 0.1131), Pd at (0.0000, 0.0000, 0.2451) and Pd at (0.0000, 0.0000, 0.3669).

For the energy above the most stable polymorph in this dataset, the calculation gives 4.17 kJ/mol of atoms. Its formation enthalpy at 0 K is -0.26 eV/atom. Its total moment is 0.000 μB per cell.

=====

Entry 3:
Below is a geometry-optimized GeBiPd2 structure, with properties calculated at the PBE level.

The structure belongs to space group I-42d (No. 122); the cell edges are 7.4097, 7.4097 and 5.9957 Å and the angles 90.00°, 90.00° and 90.00°. The distinct sites, in fractional coordinates, are Ge at (0.0000, 0.0000, 0.0000), Bi at (0.0000, 0.0000, 0.5000) and Pd at (0.1932, 0.7500, 0.1250).

Its formation enthalpy at 0 K is -0.12 eV/atom. Its total moment is 0.000 μB per cell.

=====

Entry 4:
Below is a geometry-optimized GeBiPd2 structure, with properties calculated at the PBE level.

The structure belongs to space group R3m (No. 160, hexagonal axes); the cell edges are 4.2229, 4.2229 and 15.9172 Å and the angles 90.00°, 90.00° and 120.00°. The distinct sites, in fractional coordinates, are Ge at (0.0000, 0.0000, 0.0000), Bi at (0.0000, 0.0000, 0.1858), Pd at (0.0000, 0.0000, 0.3941) and Pd at (0.0000, 0.0000, 0.6225).

Its formation enthalpy at 0 K is -0.25 eV/atom. Its total moment is 0.000 μB per cell.

=====

Entry 5:
Below is a geometry-optimized GeBiPd6 structure, with properties calculated at the PBE level.

The structure belongs to space group P4/mmm (No. 123); the cell edges are 4.0643, 4.0643 and 7.9707 Å and the angles 90.00°, 90.00° and 90.00°. The distinct sites, in fractional coordinates, are Ge at (0.0000, 0.0000, 0.0000), Bi at (0.0000, 0.0000, 0.5000), Pd at (0.0000, 0.5000, 0.2319), Pd at (0.5000, 0.5000, 0.0000) and Pd at (0.5000, 0.5000, 0.5000).

For the energy above the most stable polymorph in this dataset, the calculation gives 0.00 kJ/mol of atoms. Its formation enthalpy at 0 K is -0.30 eV/atom. Its total moment is 0.000 μB per cell.

=====

Entry 6:
Below is a geometry-optimized Ge2Bi3Pd4 structure, with properties calculated at the PBE level.

The structure belongs to space group C2/c (No. 15); the cell edges are 13.9109, 9.1524 and 6.2008 Å and the angles 90.00°, 94.50° and 90.00°. The distinct sites, in fractional coordinates, are Ge at (0.2192, 0.0924, 0.1001), Bi at (0.0000, 0.0976, 0.7500), Bi at (0.0944, 0.3743, 0.4602), Pd at (0.1099, 0.3109, 0.0108) and Pd at (0.2164, 0.1751, 0.6974).

Its formation enthalpy at 0 K is -0.27 eV/atom. Its total moment is 0.000 μB per cell.

=====

Entry 7:
Below is a geometry-optimized Ge2Bi5Pd12 structure, with properties calculated at the PBE level.

The structure belongs to space group C2/m (No. 12); the cell edges are 12.0805, 8.8820 and 7.1343 Å and the angles 90.00°, 109.75° and 90.00°. The distinct sites, in fractional coordinates, are Ge at (0.0000, 0.2397, 0.0000), Bi at (0.0000, 0.0000, 0.5000), Bi at (0.1708, 0.5000, 0.5888), Bi at (0.2133, 0.5000, 0.1345), Pd at (0.0023, 0.5000, 0.7997), Pd at (0.1246, 0.0000, 0.0637), Pd at (0.1340, 0.2188, 0.3605) and Pd at (0.1380, 0.2398, 0.7911).

Its formation enthalpy at 0 K is -0.30 eV/atom. Its total moment is 0.000 μB per cell.

=====

Entry 8:
Below is a geometry-optimized GeBi2Pd2 structure, with properties calculated at the PBE level.

The structure belongs to space group I4/mmm (No. 139); the cell edges are 3.8974, 3.8974 and 15.3303 Å and the angles 90.00°, 90.00° and 90.00°. The distinct sites, in fractional coordinates, are Ge at (0.0000, 0.0000, 0.0000), Bi at (0.0000, 0.0000, 0.3859) and Pd at (0.0000, 0.5000, 0.2500).

For the energy above the most stable polymorph in this dataset, the calculation gives 15.64 kJ/mol of atoms. Its formation enthalpy at 0 K is 0.03 eV/atom. Its total moment is 0.000 μB per cell.

=====

Entry 9:
Below is a geometry-optimized Ge6BiPd12 structure, with properties calculated at the PBE level.

The structure belongs to space group R-3m (No. 166, hexagonal axes); the cell edges are 11.7693, 11.7693 and 8.2016 Å and the angles 90.00°, 90.00° and 120.00°. The distinct sites, in fractional coordinates, are Ge at (0.0453, 0.5226, 0.2619), Bi at (0.0000, 0.0000, 0.0000), Pd at (0.0000, 0.3737, 0.5000) and Pd at (0.0839, 0.1678, 0.3282).

Its formation enthalpy at 0 K is -0.38 eV/atom. Its total moment is 0.000 μB per cell.

=====

Entry 10:
Below is a geometry-optimized GeBiPd4 structure, with properties calculated at the PBE level.

The structure belongs to space group C2/c (No. 15); the cell edges are 12.4237, 6.7137 and 5.2234 Å and the angles 90.00°, 94.02° and 90.00°. The distinct sites, in fractional coordinates, are Ge at (0.2500, 0.2500, 0.0000), Bi at (0.0000, 0.1809, 0.7500), Pd at (0.1000, 0.4378, 0.1538) and Pd at (0.1812, 0.0933, 0.4139).

Its formation enthalpy at 0 K is -0.28 eV/atom. Its total moment is 0.000 μB per cell.

=====

Entry 11:
Below is a geometry-optimized GeBiPd2 structure, with properties calculated at the PBE level.

The structure belongs to space group P2_1/c (No. 14); the cell edges are 7.7104, 6.8182 and 5.9991 Å and the angles 90.00°, 91.60° and 90.00°. The distinct sites, in fractional coordinates, are Ge at (0.1114, 0.0520, 0.3120), Bi at (0.3810, 0.5964, 0.2227), Pd at (0.0879, 0.6956, 0.4976) and Pd at (0.3085, 0.2149, 0.0266).

Its formation enthalpy at 0 K is -0.37 eV/atom. Its total moment is 0.000 μB per cell.

=====

Entry 12:
Below is a geometry-optimized GeBiPd2 structure, with properties calculated at the PBE level.

The structure belongs to space group R-3m (No. 166, hexagonal axes); the cell edges are 4.2496, 4.2496 and 15.3325 Å and the angles 90.00°, 90.00° and 120.00°. The distinct sites, in fractional coordinates, are Ge at (0.0000, 0.0000, 0.0000), Bi at (0.0000, 0.0000, 0.5000) and Pd at (0.0000, 0.0000, 0.2843).

Its formation enthalpy at 0 K is -0.30 eV/atom. Its total moment is 0.000 μB per cell.

=====

Entry 13:
Below is a geometry-optimized GeBiPd2 structure, with properties calculated at the PBE level.

The structure belongs to space group P-1 (No. 2); the cell edges are 4.0006, 6.0063 and 7.1906 Å and the angles 82.97°, 74.31° and 89.63°. The distinct sites, in fractional coordinates, are Ge at (0.1428, 0.1108, 0.2271), Bi at (0.3645, 0.4627, 0.7586), Pd at (0.0290, 0.7518, 0.4534) and Pd at (0.2468, 0.8179, 0.0050).

Its formation enthalpy at 0 K is -0.29 eV/atom. Its total moment is 0.000 μB per cell.

=====

Entry 14:
Below is a geometry-optimized GeBi2Pd3 structure, with properties calculated at the PBE level.

The structure belongs to space group Cmc2_1 (No. 36); the cell edges are 12.1671, 6.9133 and 5.9240 Å and the angles 90.00°, 90.00° and 90.00°. The distinct sites, in fractional coordinates, are Ge at (0.0000, 0.2003, 0.0000), Bi at (0.1738, 0.3325, 0.6180), Pd at (0.0000, 0.4426, 0.3188) and Pd at (0.1219, 0.0459, 0.2998).

Its formation enthalpy at 0 K is -0.35 eV/atom. Its total moment is 0.000 μB per cell.

=====

Entry 15:
Below is a geometry-optimized Ge2Bi2Pd5 structure, with properties calculated at the PBE level.

The structure belongs to space group Cmce (No. 64); the cell edges are 13.9880, 6.9236 and 7.1578 Å and the angles 90.00°, 90.00° and 90.00°. The distinct sites, in fractional coordinates, are Ge at (0.0000, 0.1514, 0.1467), Bi at (0.2136, 0.0000, 0.5000), Pd at (0.0000, 0.0000, 0.5000) and Pd at (0.1072, 0.1483, 0.8499).

Its formation enthalpy at 0 K is -0.30 eV/atom. Its total moment is 0.000 μB per cell.

=====

Entry 16:
Below is a geometry-optimized GeBiPd2 structure, with properties calculated at the PBE level.

The structure belongs to space group P4/mmm (No. 123); the cell edges are 3.2498, 3.2498 and 7.1213 Å and the angles 90.00°, 90.00° and 90.00°. The distinct sites, in fractional coordinates, are Ge at (0.0000, 0.0000, 0.0000), Bi at (0.0000, 0.0000, 0.5000) and Pd at (0.5000, 0.5000, 0.2001).

Its formation enthalpy at 0 K is -0.27 eV/atom. Its total moment is 0.000 μB per cell.

=====

Entry 17:
Below is a geometry-optimized Pm2Ge3BiPd4 structure, with properties calculated at the PBE level.

The structure belongs to space group P-4m2 (No. 115); the cell edges are 4.3732, 4.3732 and 10.7849 Å and the angles 90.00°, 90.00° and 90.00°. The distinct sites, in fractional coordinates, are Pm at (0.0000, 0.5000, 0.2280), Ge at (0.0000, 0.5000, 0.8791), Ge at (0.5000, 0.5000, 0.5000), Bi at (0.0000, 0.0000, 0.5000), Pd at (0.0000, 0.0000, 0.0000), Pd at (0.0000, 0.5000, 0.6536) and Pd at (0.5000, 0.5000, 0.0000).

Its formation enthalpy at 0 K is -0.72 eV/atom. Its total moment is 0.000 μB per cell.

=====

Entry 18:
Below is a geometry-optimized Ge2Bi2PdPt7 structure, with properties calculated at the PBE level.

The structure belongs to space group I4/mmm (No. 139); the cell edges are 3.9480, 3.9480 and 30.9186 Å and the angles 90.00°, 90.00° and 90.00°. The distinct sites, in fractional coordinates, are Ge at (0.0000, 0.0000, 0.1172), Bi at (0.0000, 0.0000, 0.2891), Pd at (0.0000, 0.0000, 0.5000), Pt at (0.0000, 0.0000, 0.0000), Pt at (0.0000, 0.0000, 0.1961) and Pt at (0.0000, 0.5000, 0.0668).

Its formation enthalpy at 0 K is -0.25 eV/atom. Its total moment is 0.000 μB per cell.

=====

Entry 19:
Below is a geometry-optimized Ge2BiPdS6 structure, with properties calculated at the PBE level.

The structure belongs to space group C2/c (No. 15); the cell edges are 12.4450, 11.8181 and 6.4487 Å and the angles 90.00°, 103.46° and 90.00°. The distinct sites, in fractional coordinates, are Ge at (0.1926, 0.0768, 0.2832), Bi at (0.0000, 0.3872, 0.2500), Pd at (0.0000, 0.2066, 0.7500), S at (0.1202, 0.4090, 0.6771), S at (0.1281, 0.2314, 0.0864) and S at (0.1322, 0.0858, 0.5972).

The formation energy from raw total energies comes out at -0.213 eV/atom. Its total moment is 0.000 μB per cell.

=====

Entry 20:
Below is a geometry-optimized GeBiSb2Pd structure, with properties calculated at the PBE level.

The structure belongs to space group P4/mmm (No. 123); the cell edges are 5.4215, 5.4215 and 4.6947 Å and the angles 90.00°, 90.00° and 90.00°. The distinct sites, in fractional coordinates, are Ge at (0.0000, 0.0000, 0.0000), Bi at (0.5000, 0.5000, 0.0000), Sb at (0.0000, 0.5000, 0.5000) and Pd at (0.0000, 0.0000, 0.5000).

The formation energy from raw total energies comes out at 0.224 eV/atom. Its total moment is 0.000 μB per cell.